The following is a DFT calculation (PBE) of crystalline CuSbW2 at its relaxed geometry.

uncorrected formation energy	671	meV per atom
density	13.663	Mg/m³

a b c (Å): 5.101 5.349 2.901
angles (deg): 78.14 82.08 116.07
Atoms (fractional coordinates):
Cu (0.000, 0.500, 0.500)
W (0.000, 0.000, 0.000)
W (0.500, 0.000, 0.500)
Sb (0.500, 0.500, 0.000)